<one>
{
  "formula": "K2BaZn2",
  "functional": "PBE",
  "state": "relaxed",
  "lattice_angstrom": [[9.7338, 0.0000, 0.0000], [0.0000, 9.7338, 0.0000], [0.0000, 0.0000, 4.0161]],
  "species": ["K", "K", "K", "K", "Zn", "Zn", "Zn", "Zn", "Ba", "Ba"],
  "frac_coords": [[0.3780, 0.8780, 0.0000], [0.8780, 0.6220, 0.0000], [0.6220, 0.1220, 0.0000], [0.1220, 0.3780, 0.0000], [0.1825, 0.6825, 0.5000], [0.6825, 0.8175, 0.5000], [0.8175, 0.3175, 0.5000], [0.3175, 0.1825, 0.5000], [0.0000, 0.0000, 0.0000], [0.5000, 0.5000, 0.0000]],
  "space_group": "P4/mbm (127)",
  "magnetic_moment_mub_per_fu": 0.0
}



<two>
{
  "formula": "K2BaZn2",
  "functional": "PBE",
  "state": "relaxed",
  "lattice_angstrom": [[5.0973, 0.0000, 0.0000], [0.0000, 5.0973, 0.0000], [2.5487, 2.5487, 7.7834]],
  "species": ["K", "K", "Zn", "Zn", "Ba"],
  "frac_coords": [[0.7500, 0.2500, 0.5000], [0.2500, 0.7500, 0.5000], [0.4182, 0.4182, 0.1636], [0.5818, 0.5818, 0.8364], [0.0000, 0.0000, 0.0000]],
  "space_group": "I4/mmm (139)",
  "magnetic_moment_mub_per_fu": 0.0
}



<three>
{
  "formula": "K2BaZn2",
  "functional": "PBE",
  "state": "relaxed",
  "lattice_angstrom": [[-3.9496, 2.6160, 7.0883], [-7.4681, -2.5657, -3.2143], [0.7745, -5.1985, 2.3501]],
  "species": ["K", "K", "K", "K", "Zn", "Zn", "Zn", "Zn", "Ba", "Ba"],
  "frac_coords": [[0.1683, 0.6683, 0.5000], [0.6683, 0.8317, 0.5000], [0.8317, 0.3317, 0.5000], [0.3317, 0.1683, 0.5000], [0.3936, 0.8936, 0.0000], [0.8936, 0.6064, 0.0000], [0.6064, 0.1064, 0.0000], [0.1064, 0.3936, 0.0000], [0.0000, 0.0000, 0.0000], [0.5000, 0.5000, 0.0000]],
  "space_group": "P4/mbm (127)",
  "magnetic_moment_mub_per_fu": 0.0
}



Least stable structure among those shown: <one>.